A plane-wave DFT calculation with PBE was carried out for a relaxed structure of GeHSe2N.

Cell lengths 5.245, 5.245, 3.529 Å; angles 90.00, 90.00, 90.00 degrees
Site moments in Bohr magnetons follow the coordinates.
Positions (direct):
Ge: 0.000 0.000 0.000  0.02
N: 0.000 0.000 0.500  -0.31
Se: 0.500 0.000 0.000  -0.29
H: 0.500 0.500 0.500  0.28
Se: 0.000 0.500 0.000  -0.29

## Properties
- VASP energy (eV per cell) = -16.94
- magnetization (μB/f.u.) = 0.6
- energy above the most stable polymorph in this dataset (eV/atom) = 0.3185

***

A plane-wave DFT calculation with PBE was carried out for a relaxed structure of CdSn2W.

Cell lengths 6.645, 6.645, 7.600 Å; angles 64.08, 64.08, 90.00 degrees
Positions (direct):
Sn: 0.375 0.337 0.750
Cd: 0.250 0.750 0.500
Sn: 0.875 0.913 0.750
Sn: 0.087 0.625 0.250
Sn: 0.663 0.125 0.250
Cd: 0.500 0.500 0.000
W: 0.750 0.250 0.500
W: 0.000 0.000 0.000

## Properties
- VASP energy (eV per cell) = -34.97
- magnetization (μB/f.u.) = 0.0
- energy of formation from the pure elements (meV/atom) = 1098

***

| no. | density (g cm⁻³) |
| --- | --- |
| 1 | 4.20 |
| 2 | 6.72 |